# 1
Y2HfScN4: optimized geometry, PBE.

Cell: 5.7490 3.3220 5.7944 Å, 90.00 109.21 90.00°
Closest atoms and distances in Å follow each position.
Positions (direct):
Y  0.0000  0.0000  0.0000  6 N 2.41
Y  0.5000  0.5000  0.0000  6 N 2.44
Hf  0.0000  0.5000  0.5000  6 N 2.26-2.28
Sc  0.5000  0.0000  0.5000  6 N 2.30-2.31
N  0.2383  0.0000  0.7276  2 Hf 2.28, 1 Sc 2.30, 3 Y 2.41-2.44
N  0.2514  0.5000  0.2701  1 Hf 2.26, 2 Sc 2.31, 3 Y 2.41-2.44
N  0.7486  0.5000  0.7299  1 Hf 2.26, 2 Sc 2.31, 3 Y 2.41-2.44
N  0.7617  0.0000  0.2724  2 Hf 2.28, 1 Sc 2.30, 3 Y 2.41-2.44

## Properties
Space group   P2/m (10)
DOS(E_F)   1.25 states/eV/cell

# 2
HfSc2ZnN: optimized geometry, PBE.

Cell: 4.3733 4.3733 4.3934 Å, 90.00 90.00 90.00°
Closest atoms and distances in Å follow each position.
Positions (direct):
Hf  0.0000  0.0000  0.0000  2 N 2.20
Sc  0.0000  0.5000  0.5000  2 N 2.19
Sc  0.5000  0.0000  0.5000  2 N 2.19
Zn  0.5000  0.5000  0.0000  4 Hf 3.09, 8 Sc 3.10
N  0.0000  0.0000  0.5000  4 Sc 2.19, 2 Hf 2.20

## Properties
Space group   P4/mmm (123)
DOS(E_F)   1.65 states/eV/cell

# 3
Hf3Zr4ScN8: optimized geometry, PBE.

Cell: 6.4920 6.4920 6.4920 Å, 59.56 59.56 59.56°
Closest atoms and distances in Å follow each position.
Positions (direct):
Hf  0.0000  0.5000  0.5000  6 N 2.24-2.25
Hf  0.5000  0.0000  0.5000  6 N 2.24-2.25
Hf  0.5000  0.5000  0.0000  6 N 2.24-2.25
Zr  0.0000  0.0000  0.5000  6 N 2.33
Zr  0.0000  0.5000  0.0000  6 N 2.33
Zr  0.5000  0.0000  0.0000  6 N 2.33
Zr  0.5000  0.5000  0.5000  6 N 2.32
Sc  0.0000  0.0000  0.0000  6 N 2.26
N  0.2471  0.2471  0.7438  2 Hf 2.25, 1 Sc 2.26, 3 Zr 2.32-2.33
N  0.2471  0.7438  0.2471  2 Hf 2.25, 1 Sc 2.26, 3 Zr 2.32-2.33
N  0.2548  0.2548  0.2548  3 Hf 2.24, 3 Zr 2.33
N  0.2562  0.7529  0.7529  2 Hf 2.25, 1 Sc 2.26, 3 Zr 2.32-2.33
N  0.7438  0.2471  0.2471  2 Hf 2.25, 1 Sc 2.26, 3 Zr 2.32-2.33
N  0.7452  0.7452  0.7452  3 Hf 2.24, 3 Zr 2.33
N  0.7529  0.2562  0.7529  2 Hf 2.25, 1 Sc 2.26, 3 Zr 2.32-2.33
N  0.7529  0.7529  0.2562  2 Hf 2.25, 1 Sc 2.26, 3 Zr 2.32-2.33

## Properties
Space group   R-3m (166)
DOS(E_F)   6.25 states/eV/cell

Number 1: final energy -9.615 eV per atom. Number 2: final energy -7.364 eV per atom. Number 3: final energy -10.324 eV per atom.